1.
! PBE HfTc2H, relaxed; values from VASP
! * M_tot: 0.000 μB/cell
! * calculated volume: 14.2 Å³/atom
! * E above lowest polymorph: 0.000 eV/atom
! * ρ: 10.99 g/cm³
! * raw total energy: -8.44 eV per atom
&SYSTEM
  ibrav = 0, nat = 8, ntyp = 3
/
ATOMIC_SPECIES
H 1.01 H.upf
Hf 178.49 Hf.upf
Tc 98.00 Tc.upf
ATOMIC_POSITIONS crystal
H 0.500 0.500 0.000
H 0.250 0.750 0.500
Hf 0.000 0.000 0.000
Hf 0.750 0.250 0.500
Tc 0.375 0.125 0.250
Tc 0.375 0.625 0.250
Tc 0.375 0.625 0.750
Tc 0.875 0.625 0.750
CELL_PARAMETERS angstrom
5.434 0.000 0.000
0.000 5.434 0.000
2.717 2.717 3.843

***

2.
! PBE Hf2TcH, relaxed; values from VASP
! * M_tot: 0.000 μB/cell
! * calculated volume: 15.1 Å³/atom
! * E above lowest polymorph: 0.000 eV/atom
! * ρ: 12.57 g/cm³
! * raw total energy: -8.57 eV per atom
&SYSTEM
  ibrav = 0, nat = 4, ntyp = 3
/
ATOMIC_SPECIES
H 1.01 H.upf
Hf 178.49 Hf.upf
Tc 98.00 Tc.upf
ATOMIC_POSITIONS crystal
H 0.000 0.000 0.000
Hf 0.265 0.265 0.205
Hf 0.735 0.735 0.795
Tc 0.500 0.500 0.500
CELL_PARAMETERS angstrom
3.222 0.000 0.000
1.611 2.790 0.000
1.611 0.930 6.699